No. 1
Here is LaTaAl after structural relaxation from the Open Quantum Materials Database. Energies are from GGA-PBE.

abc: 6.985 6.985 6.985
angles: 90.00 90.00 90.00
Space group F-43m (No. 216)
Inequivalent atoms, fractional coordinates:
1 La 0.000 0.000 0.000
2 Ta 0.250 0.250 0.250
3 Al 0.250 0.250 0.750

Summary:
calculated volume	85.2	Å³/f.u.
energy relative to the lowest polymorph listed for this composition	760	meV per atom
DFT total energy	-5.513	eV/atom


No. 2
Here is K4ZnSi2O7 after structural relaxation from the Open Quantum Materials Database. Energies are from GGA-PBE.

abc: 6.104 6.662 6.836
angles: 112.66 100.81 105.40
Space group P-1 (No. 2)
Inequivalent atoms, fractional coordinates:
1 K 0.080 0.049 0.286
2 K 0.311 0.569 0.220
3 Zn 0.500 0.000 0.000
4 Si 0.220 0.568 0.726
5 O 0.000 0.500 0.500
6 O 0.175 0.759 0.942
7 O 0.220 0.332 0.739
8 O 0.476 0.730 0.719

Summary:
calculated volume	233.8	Å³/f.u.
DFT total energy	-5.810	eV/atom


No. 3
Here is Zr3Bi4Pt3 after structural relaxation from the Open Quantum Materials Database. Energies are from GGA-PBE.

abc: 9.664 9.664 9.664
angles: 90.00 90.00 90.00
Space group I-43d (No. 220)
Inequivalent atoms, fractional coordinates:
1 Zr 0.000 0.250 0.375
2 Bi 0.097 0.097 0.097
3 Pt 0.000 0.250 0.875

Summary:
calculated volume	225.6	Å³/f.u.
DFT total energy	-6.529	eV/atom


No. 4
Here is LuScNi2Sb2 after structural relaxation from the Open Quantum Materials Database. Energies are from GGA-PBE.

abc: 8.750 4.374 13.121
angles: 90.00 109.46 90.00
Space group Pm (No. 6)
Inequivalent atoms, fractional coordinates:
1 Lu 0.000 0.000 0.000
2 Lu 0.125 0.500 0.749
3 Lu 0.623 0.500 0.748
4 Lu 0.875 0.500 0.250
5 Sc 0.249 0.000 0.499
6 Sc 0.374 0.500 0.250
7 Sc 0.499 0.000 0.000
8 Sc 0.749 0.000 0.498
9 Ni 0.067 0.500 0.127
10 Ni 0.192 0.000 0.876
11 Ni 0.310 0.500 0.620
12 Ni 0.438 0.000 0.375
13 Ni 0.558 0.500 0.124
14 Ni 0.684 0.000 0.876
15 Ni 0.809 0.500 0.620
16 Ni 0.938 0.000 0.378
17 Sb 0.129 0.000 0.252
18 Sb 0.254 0.500 0.001
19 Sb 0.374 0.000 0.748
20 Sb 0.498 0.500 0.496
21 Sb 0.621 0.000 0.249
22 Sb 0.746 0.500 0.000
23 Sb 0.873 0.000 0.747
24 Sb 0.999 0.500 0.499

Summary:
calculated volume	118.4	Å³/f.u.
DFT total energy	-5.938	eV/atom